Material: La4Ce3ThAs8
Method: DFT, GGA-PBE
State: optimized geometry

```
La4Ce3ThAs8
1.0
8.598 0.000 0.000
0.000 8.613 0.005
-4.299 -4.295 6.083
Ce La Th As
3 4 1 8
Direct
0.500 0.500 0.500
0.500 0.500 0.000
0.000 0.500 0.500
0.500 0.000 0.500
0.000 0.000 0.500
0.000 0.000 0.000
0.500 0.000 0.000
0.000 0.500 0.000
0.753 0.260 0.506
0.254 0.260 0.007
0.253 0.260 0.507
0.753 0.260 0.007
0.247 0.740 0.993
0.747 0.740 0.493
0.247 0.740 0.494
0.746 0.740 0.993
```

total DFT energy (no corrections): -0.488 Ry per atom


Material: CrIrCl2
Method: DFT, GGA-PBE
State: optimized geometry

```
CrIrCl2
1.0
6.705 0.130 -0.097
5.939 3.116 -0.097
0.615 0.158 4.448
Cl Ir Cr
2 1 1
Direct
0.616 0.616 0.463
0.884 0.884 0.037
0.750 0.750 0.750
0.250 0.250 0.250
```

distance to the lowest polymorph of the same formula: 159 meV per atom
formation energy (no corrections): -0.02 eV/atom


Material: Hf3BiSb
Method: DFT, GGA-PBE
State: optimized geometry

```
Hf3BiSb
1.0
5.350 0.000 0.000
0.000 5.350 0.000
0.000 0.000 5.350
Hf Sb Bi
3 1 1
Direct
0.500 0.000 0.000
0.000 0.500 0.000
0.000 0.000 0.500
0.500 0.500 0.500
0.000 0.000 0.000
```

distance to the lowest polymorph of the same formula: 1451 meV per atom
formation energy (no corrections): 1.27 eV/atom


Material: AlCd6F12
Method: DFT, GGA-PBE
State: optimized geometry

```
AlCd6F12
1.0
6.726 -0.029 -0.034
-1.048 6.644 -0.034
-1.048 -1.221 6.531
Cd F Al
6 12 1
Direct
0.300 0.137 0.604
0.700 0.863 0.396
0.396 0.700 0.863
0.604 0.300 0.137
0.863 0.396 0.700
0.137 0.604 0.300
0.725 0.936 0.017
0.936 0.017 0.725
0.432 0.592 0.175
0.983 0.275 0.064
0.408 0.825 0.568
0.017 0.725 0.936
0.064 0.983 0.275
0.568 0.408 0.825
0.825 0.568 0.408
0.175 0.432 0.592
0.275 0.064 0.983
0.592 0.175 0.432
0.000 0.000 0.000
```

formation energy (no corrections): -2.19 eV/atom


no.,V (A^3/atom)
1,28.2
2,22.4
3,30.6
4,15.3